(1)
Compound: CdCuGePt
Source: the Open Quantum Materials Database
Functional: PBE
Structure: relaxed

The space group is F-43m (No. 216) and the conventional cell measures 6.409, 6.409 and 6.409 Å, with angles of 90.00, 90.00 and 90.00 degrees. The distinct sites, in fractional coordinates, are Cd at (0.000, 0.000, 0.000), Cu at (0.250, 0.250, 0.750), Ge at (0.000, 0.000, 0.500) and Pt at (0.250, 0.250, 0.250).

The calculated volume comes out at 263.3 Å³ per cell. The crystal system is cubic. Its raw total energy is -3.896 eV/atom.


(2)
Compound: Y2Ta2Cl2O7
Source: the Open Quantum Materials Database
Functional: PBE
Structure: relaxed

The space group is C2/m (No. 12) and the conventional cell measures 15.212, 3.891 and 6.829 Å, with angles of 90.00, 114.26 and 90.00 degrees. The distinct sites, in fractional coordinates, are Y at (0.196, 0.000, 0.163), Ta at (0.035, 0.500, 0.802), Cl at (0.181, 0.000, 0.565), O at (0.000, 0.500, 0.500), O at (0.049, 0.000, 0.847), O at (0.085, 0.500, 0.159) and O at (0.179, 0.500, 0.937).

The calculated volume comes out at 368.6 Å³ per cell. The crystal system is monoclinic. Its raw total energy is -8.731 eV/atom.


Number 1: mass density 11.19 g cm⁻³. Number 2: mass density 6.51 g cm⁻³.